Entry 1:
## BaCd4Pb (PBEsol)

Data for an optimized crystal structure of BaCd4Pb.

Computed properties:
* energy of formation: -0.182 eV/atom
* total magnetization: 0.00 μB/cell
* E_tot: -2.0043 eV/atom
* density of states at the Fermi level: 0.5250 states/eV/atom

Lattice parameters (Å, degrees): 6.0813 6.0813 6.0813 60.00 60.00 60.00
Positions (direct):
Pb: 0.7500 0.7500 0.7500
Ba: 0.0000 0.0000 0.0000
Cd: 0.3753 0.3753 0.3753
Cd: 0.3753 0.3753 0.8740
Cd: 0.8740 0.3753 0.3753
Cd: 0.3753 0.8740 0.3753


Entry 2:
## CdSbBr2 (PBEsol)

Data for an optimized crystal structure of CdSbBr2.

Computed properties:
* total magnetization: 0.00 μB/cell
* E_tot: -2.5828 eV/atom
* energy above the most stable polymorph in this dataset: 0.0 meV/atom
* density of states at the Fermi level: 0.4547 states/eV/atom

Lattice parameters (Å, degrees): 3.8286 3.8286 9.0642 77.81 77.81 60.00
Positions (direct):
Sb: 0.2444 0.2444 0.2669
Br: 0.9880 0.9880 0.0361
Br: 0.7687 0.7687 0.6939
Cd: 0.4990 0.4990 0.5031


Entry 3:
## Rb3RuPt (PBEsol)

Data for an optimized crystal structure of Rb3RuPt.

Computed properties:
* energy of formation: 1.420 eV/atom
* total magnetization: 0.35 μB/cell
* E_tot: -2.6220 eV/atom
* density of states at the Fermi level: 2.6577 states/eV/atom

Lattice parameters (Å, degrees): 5.4021 5.4021 5.4021 90.00 90.00 90.00
Each line ends with the local moment (μB).
Positions (direct):
Ru: 0.0000 0.0000 0.0000  0.03
Rb: 0.0000 0.5000 0.0000  0.00
Rb: 0.0000 0.0000 0.5000  0.00
Rb: 0.5000 0.0000 0.0000  0.00
Pt: 0.5000 0.5000 0.5000  0.33


Entry 4:
## TlPdSe3 (PBEsol)

Data for an optimized crystal structure of TlPdSe3.

Computed properties:
* total magnetization: 0.00 μB/cell
* E_tot: -3.8829 eV/atom
* density of states at the Fermi level: 1.8542 states/eV/atom

Lattice parameters (Å, degrees): 4.9510 4.9510 4.9510 90.00 90.00 90.00
Positions (direct):
Tl: 0.5000 0.5000 0.5000
Se: 0.0000 0.5000 0.0000
Se: 0.0000 0.0000 0.5000
Se: 0.5000 0.0000 0.0000
Pd: 0.0000 0.0000 0.0000


Entry 5:
## Zn2InReN (PBEsol)

Data for an optimized crystal structure of Zn2InReN.

Computed properties:
* total magnetization: 2.94 μB/cell
* E_tot: -3.5531 eV/atom
* density of states at the Fermi level: 0.8451 states/eV/atom

Lattice parameters (Å, degrees): 3.7672 5.0448 5.0448 90.00 90.00 90.00
Each line ends with the local moment (μB).
Positions (direct):
Re: 0.5000 0.5000 0.5000  2.48
Zn: 0.0000 0.0000 0.5000  -0.03
Zn: 0.0000 0.5000 0.0000  -0.03
N: 0.5000 0.0000 0.0000  0.10
In: 0.0000 0.0000 0.0000  -0.01


Entry 6:
## AgTeN2F (PBEsol)

Data for an optimized crystal structure of AgTeN2F.

Computed properties:
* total magnetization: 0.00 μB/cell
* E_tot: -4.0612 eV/atom
* density of states at the Fermi level: 0.5358 states/eV/atom

Lattice parameters (Å, degrees): 3.9862 4.1003 4.1003 90.00 90.00 90.00
Positions (direct):
N: 0.0000 0.0000 0.5000
N: 0.0000 0.5000 0.0000
Te: 0.5000 0.5000 0.5000
Ag: 0.0000 0.0000 0.0000
F: 0.5000 0.0000 0.0000


Entry 7:
## Y2ScRe (PBEsol)

Data for an optimized crystal structure of Y2ScRe.

Computed properties:
* energy of formation: 0.291 eV/atom
* total magnetization: 0.00 μB/cell
* E_tot: -8.1039 eV/atom
* energy above the most stable polymorph in this dataset: 0.0 meV/atom
* density of states at the Fermi level: 1.1964 states/eV/atom

Lattice parameters (Å, degrees): 3.3007 3.3007 10.2147 80.70 80.70 60.00
Positions (direct):
Re: 0.5033 0.5033 0.4900
Sc: 0.2328 0.2328 0.3017
Y: 0.9971 0.9971 0.0086
Y: 0.7668 0.7668 0.6997


Entry 8:
## Cr3GeC (PBEsol)

Data for an optimized crystal structure of Cr3GeC.

Computed properties:
* energy of formation: -0.130 eV/atom
* total magnetization: 1.73 μB/cell
* E_tot: -9.1916 eV/atom
* density of states at the Fermi level: 1.0009 states/eV/atom

Lattice parameters (Å, degrees): 2.8431 5.2514 7.5629 90.00 90.00 105.71
Each line ends with the local moment (μB).
Positions (direct):
Cr: 0.1259 0.2519 0.4537  0.08
Cr: 0.5297 0.0594 0.7500  0.70
Cr: 0.4703 0.9406 0.2500  0.70
Cr: 0.1259 0.2519 0.0463  0.08
Cr: 0.8741 0.7481 0.9537  0.08
Cr: 0.8741 0.7481 0.5463  0.08
Ge: 0.2380 0.4760 0.7500  0.00
Ge: 0.7620 0.5240 0.2500  0.00
C: 0.5000 0.0000 0.5000  -0.02
C: 0.5000 0.0000 0.0000  -0.02


Entry 9:
## Li3Rh (PBEsol)

Data for an optimized crystal structure of Li3Rh.

Computed properties:
* energy of formation: 0.012 eV/atom
* total magnetization: 0.00 μB/cell
* E_tot: -3.4979 eV/atom
* density of states at the Fermi level: 0.3068 states/eV/atom

Lattice parameters (Å, degrees): 3.7337 3.7337 3.7337 90.00 90.00 90.00
Positions (direct):
Rh: 0.0000 0.0000 0.0000
Li: 0.0000 0.5000 0.5000
Li: 0.5000 0.0000 0.5000
Li: 0.5000 0.5000 0.0000


Entry 10:
## MnAl2Ag (PBEsol)

Data for an optimized crystal structure of MnAl2Ag.

Computed properties:
* energy of formation: -0.157 eV/atom
* total magnetization: 1.85 μB/cell
* E_tot: -5.4705 eV/atom
* energy above the most stable polymorph in this dataset: 0.0 meV/atom
* density of states at the Fermi level: 0.4826 states/eV/atom

Lattice parameters (Å, degrees): 2.7870 2.7870 7.3154 90.00 90.00 90.00
Each line ends with the local moment (μB).
Positions (direct):
Mn: 0.5000 0.5000 0.0000  1.91
Al: 0.0000 0.0000 0.7810  -0.03
Al: 0.0000 0.0000 0.2190  -0.03
Ag: 0.5000 0.5000 0.5000  0.00


Entry 11:
## HgPt3 (PBEsol)

Data for an optimized crystal structure of HgPt3.

Computed properties:
* energy of formation: 0.035 eV/atom
* total magnetization: 0.00 μB/cell
* E_tot: -5.3294 eV/atom
* density of states at the Fermi level: 1.0937 states/eV/atom

Lattice parameters (Å, degrees): 2.8344 4.8839 4.9126 99.22 90.00 106.87
Positions (direct):
Hg: 0.0000 0.0000 0.0000
Pt: 0.7526 0.5053 0.2587
Pt: 0.5000 0.0000 0.5000
Pt: 0.2474 0.4947 0.7413


Entry 12:
## K2HRu (PBEsol)

Data for an optimized crystal structure of K2HRu.

Computed properties:
* total magnetization: 2.23 μB/cell
* E_tot: -3.2106 eV/atom
* density of states at the Fermi level: 0.7931 states/eV/atom

Lattice parameters (Å, degrees): 3.4301 8.0890 8.0890 87.42 77.76 77.76
Each line ends with the local moment (μB).
Positions (direct):
Ru: 0.0000 0.0000 0.0000  1.20
Ru: 0.7500 0.5000 0.5000  1.20
K: 0.8750 0.8031 0.6969  -0.01
K: 0.3750 0.1969 0.3031  -0.01
K: 0.4281 0.6969 0.1969  -0.01
K: 0.3219 0.3031 0.8031  -0.01
H: 0.5000 0.0000 0.0000  -0.01
H: 0.2500 0.5000 0.5000  -0.01


Entry 13:
## LiBi2Pt2 (PBEsol)

Data for an optimized crystal structure of LiBi2Pt2.

Computed properties:
* energy of formation: -0.251 eV/atom
* total magnetization: 0.00 μB/cell
* E_tot: -5.1439 eV/atom
* density of states at the Fermi level: 0.3797 states/eV/atom

Lattice parameters (Å, degrees): 3.7868 7.4242 7.4242 90.00 90.00 90.00
Positions (direct):
Bi: 0.5000 0.1685 0.6685
Bi: 0.5000 0.6685 0.8315
Bi: 0.5000 0.8315 0.3315
Bi: 0.5000 0.3315 0.1685
Pt: 0.0000 0.3654 0.8654
Pt: 0.0000 0.8654 0.6346
Pt: 0.0000 0.6346 0.1346
Pt: 0.0000 0.1346 0.3654
Li: 0.0000 0.0000 0.0000
Li: 0.0000 0.5000 0.5000


Entry 14:
## Ca3HW (PBEsol)

Data for an optimized crystal structure of Ca3HW.

Computed properties:
* total magnetization: 0.00 μB/cell
* E_tot: -3.3509 eV/atom
* energy above the most stable polymorph in this dataset: 734.6 meV/atom
* density of states at the Fermi level: 0.6608 states/eV/atom

Lattice parameters (Å, degrees): 5.4222 5.4222 5.4222 90.00 90.00 90.00
Positions (direct):
H: 0.5000 0.5000 0.5000
Ca: 0.0000 0.5000 0.0000
Ca: 0.0000 0.0000 0.5000
Ca: 0.5000 0.0000 0.0000
W: 0.0000 0.0000 0.0000


Entry 15:
## CoMo2Cl (PBEsol)

Data for an optimized crystal structure of CoMo2Cl.

Computed properties:
* total magnetization: 0.00 μB/cell
* E_tot: -7.9298 eV/atom
* energy above the most stable polymorph in this dataset: 116.1 meV/atom
* density of states at the Fermi level: 0.8869 states/eV/atom

Lattice parameters (Å, degrees): 3.0332 3.0332 6.1918 90.00 90.00 90.00
Positions (direct):
Mo: 0.0000 0.0000 0.9750
Mo: 0.5000 0.5000 0.2329
Co: 0.5000 0.5000 0.7780
Cl: 0.0000 0.0000 0.5142


Entry 16:
## Li2Mn3FeO8 (PBEsol)

Data for an optimized crystal structure of Li2Mn3FeO8.

Computed properties:
* total magnetization: 36.00 μB/cell
* E_tot: -7.7929 eV/atom
* energy above the most stable polymorph in this dataset: 0.0 meV/atom
* density of states at the Fermi level: 0.2271 states/eV/atom

Lattice parameters (Å, degrees): 8.0232 8.0232 8.0276 90.00 90.00 90.00
Each line ends with the local moment (μB).
Positions (direct):
Li: 0.5008 0.7509 0.8759  0.01
Li: 0.2491 0.4992 0.6241  0.01
Li: 0.2509 0.9992 0.1259  0.01
Li: 0.9992 0.2509 0.8741  0.01
Li: 0.0008 0.7491 0.3741  0.01
Li: 0.7491 0.0008 0.6259  0.01
Li: 0.7509 0.5008 0.1241  0.01
Li: 0.4992 0.2491 0.3759  0.01
Mn: 0.3721 0.1251 0.7529  2.55
Mn: 0.3749 0.8721 0.5029  2.55
Mn: 0.3779 0.6221 0.2500  2.55
Mn: 0.1221 0.1221 0.5000  2.55
Mn: 0.1251 0.3721 0.2471  2.55
Mn: 0.1279 0.6251 0.9971  2.55
Mn: 0.8721 0.3749 0.4971  2.55
Mn: 0.8749 0.6279 0.7471  2.55
Mn: 0.8779 0.8779 0.0000  2.55
Mn: 0.6221 0.3779 0.7500  2.55
Mn: 0.6251 0.1279 0.0029  2.55
Mn: 0.6279 0.8749 0.2529  2.55
Fe: 0.3750 0.3750 0.0000  0.96
Fe: 0.1250 0.8750 0.7500  0.96
Fe: 0.8750 0.1250 0.2500  0.96
Fe: 0.6250 0.6250 0.5000  0.96
O: 0.3866 0.3623 0.7617  0.02
O: 0.3878 0.1366 0.9883  0.02
O: 0.3888 0.8612 0.2639  0.02
O: 0.3634 0.8878 0.7383  0.02
O: 0.3866 0.6366 0.4871  0.02
O: 0.3612 0.1112 0.5139  0.02
O: 0.3623 0.3866 0.2383  0.02
O: 0.3634 0.6134 0.0129  0.02
O: 0.1366 0.1134 0.7371  0.02
O: 0.1377 0.8866 0.5117  0.02
O: 0.1388 0.6112 0.2361  0.02
O: 0.1134 0.1366 0.2629  0.02
O: 0.1366 0.3878 0.0117  0.02
O: 0.1112 0.3612 0.4861  0.02
O: 0.1122 0.6366 0.7617  0.02
O: 0.1134 0.8623 0.9883  0.02
O: 0.8866 0.1377 0.4883  0.02
O: 0.8878 0.3634 0.2617  0.02
O: 0.8888 0.6388 0.9861  0.02
O: 0.8634 0.6122 0.5117  0.02
O: 0.8866 0.8634 0.7629  0.02
O: 0.8612 0.3888 0.7361  0.02
O: 0.8623 0.1134 0.0117  0.02
O: 0.8634 0.8866 0.2371  0.02
O: 0.6366 0.3866 0.5129  0.02
O: 0.6377 0.6134 0.7383  0.02
O: 0.6388 0.8888 0.0139  0.02
O: 0.6134 0.3634 0.9871  0.02
O: 0.6366 0.1122 0.2383  0.02
O: 0.6112 0.1388 0.7639  0.02
O: 0.6122 0.8634 0.4883  0.02
O: 0.6134 0.6377 0.2617  0.02


Entry 17:
## CrInCu (PBEsol)

Data for an optimized crystal structure of CrInCu.

Computed properties:
* energy of formation: 0.365 eV/atom
* total magnetization: 3.32 μB/cell
* E_tot: -5.4881 eV/atom
* density of states at the Fermi level: 0.4148 states/eV/atom

Lattice parameters (Å, degrees): 3.0540 3.0540 5.4157 106.38 106.38 90.00
Each line ends with the local moment (μB).
Positions (direct):
Cr: 0.0143 0.0143 0.0287  3.08
Cu: 0.6579 0.6579 0.3159  0.09
In: 0.3277 0.3277 0.6555  -0.07


Entry 18:
## Na2ZnPt2 (PBEsol)

Data for an optimized crystal structure of Na2ZnPt2.

Computed properties:
* energy of formation: -0.187 eV/atom
* total magnetization: 0.00 μB/cell
* E_tot: -3.8490 eV/atom
* density of states at the Fermi level: 0.2453 states/eV/atom

Lattice parameters (Å, degrees): 4.6615 6.3494 6.3494 90.00 90.00 90.00
Positions (direct):
Na: 0.5000 0.1675 0.6675
Na: 0.5000 0.6675 0.8325
Na: 0.5000 0.8325 0.3325
Na: 0.5000 0.3325 0.1675
Zn: 0.0000 0.0000 0.0000
Zn: 0.0000 0.5000 0.5000
Pt: 0.0000 0.3587 0.8586
Pt: 0.0000 0.8586 0.6414
Pt: 0.0000 0.6414 0.1414
Pt: 0.0000 0.1414 0.3587


Entry 19:
## TePt8 (PBEsol)

Data for an optimized crystal structure of TePt8.

Computed properties:
* total magnetization: 0.00 μB/cell
* E_tot: -6.5740 eV/atom
* density of states at the Fermi level: 1.0358 states/eV/atom

Lattice parameters (Å, degrees): 3.9463 6.2954 6.2954 84.36 71.73 71.73
Positions (direct):
Te: 0.0000 0.0000 0.0000
Pt: 0.3314 0.0000 0.3372
Pt: 0.6686 0.0000 0.6628
Pt: 0.6649 0.3351 0.3351
Pt: 0.3314 0.3372 0.0000
Pt: 0.0000 0.3351 0.6649
Pt: 0.6686 0.6628 0.0000
Pt: 0.3351 0.6649 0.6649
Pt: 0.0000 0.6649 0.3351


Entry 20:
## LaScTcO2 (PBEsol)

Data for an optimized crystal structure of LaScTcO2.

Computed properties:
* total magnetization: 0.00 μB/cell
* E_tot: -6.9141 eV/atom
* density of states at the Fermi level: 1.0767 states/eV/atom

Lattice parameters (Å, degrees): 4.0716 4.0716 5.0379 90.00 90.00 90.00
Positions (direct):
Sc: 0.5000 0.5000 0.5000
Tc: 0.0000 0.0000 0.0000
O: 0.0000 0.5000 0.0000
O: 0.5000 0.0000 0.0000
La: 0.0000 0.0000 0.5000


Entry 21:
## KTa2As2 (PBEsol)

Data for an optimized crystal structure of KTa2As2.

Computed properties:
* energy of formation: 0.160 eV/atom
* total magnetization: 0.00 μB/cell
* E_tot: -7.1296 eV/atom
* density of states at the Fermi level: 0.8832 states/eV/atom

Lattice parameters (Å, degrees): 4.8977 4.8977 5.7263 115.32 115.32 90.00
Positions (direct):
As: 0.2500 0.7500 0.5000
As: 0.7500 0.2500 0.5000
K: 0.0000 0.0000 0.0000
Ta: 0.3564 0.3564 0.7129
Ta: 0.6436 0.6436 0.2871


Entry 22:
## TlBiCl2 (PBEsol)

Data for an optimized crystal structure of TlBiCl2.

Computed properties:
* total magnetization: 0.00 μB/cell
* E_tot: -3.3635 eV/atom
* density of states at the Fermi level: 0.2050 states/eV/atom

Lattice parameters (Å, degrees): 3.6612 3.6612 10.0255 79.48 79.48 60.00
Positions (direct):
Tl: 0.5000 0.5000 0.5000
Bi: 0.0000 0.0000 0.0000
Cl: 0.9087 0.9087 0.2738
Cl: 0.0913 0.0913 0.7262


Entry 23:
## CoNi2Rh (PBEsol)

Data for an optimized crystal structure of CoNi2Rh.

Computed properties:
* energy of formation: 0.052 eV/atom
* total magnetization: 3.43 μB/cell
* E_tot: -6.9955 eV/atom
* energy above the most stable polymorph in this dataset: 15.4 meV/atom
* density of states at the Fermi level: 1.4972 states/eV/atom

Lattice parameters (Å, degrees): 2.5453 2.5453 6.9880 90.00 90.00 90.00
Each line ends with the local moment (μB).
Positions (direct):
Ni: 0.0000 0.0000 0.9974  0.75
Ni: 0.5000 0.5000 0.2388  0.59
Rh: 0.0000 0.0000 0.5014  0.49
Co: 0.5000 0.5000 0.7624  1.68


Entry 24:
## Tc2Os (PBEsol)

Data for an optimized crystal structure of Tc2Os.

Computed properties:
* energy of formation: -0.073 eV/atom
* total magnetization: 0.00 μB/cell
* E_tot: -11.6562 eV/atom
* energy above the most stable polymorph in this dataset: 0.0 meV/atom
* density of states at the Fermi level: 0.8027 states/eV/atom

Lattice parameters (Å, degrees): 2.7204 5.1187 6.4096 103.24 90.00 105.41
Positions (direct):
Os: 0.0283 0.0566 0.8054
Os: 0.9717 0.9434 0.1946
Tc: 0.6370 0.2741 0.5264
Tc: 0.3065 0.6131 0.8610
Tc: 0.6935 0.3869 0.1390
Tc: 0.3630 0.7259 0.4736